(1)
A plane-wave DFT calculation with GGA-PBE was carried out for LiCo3Cl after structural relaxation.

It has space group Pm-3m (No. 221), with a = 4.117 Å, b = 4.117 Å, c = 4.117 Å, α = 90.00°, β = 90.00° and γ = 90.00°. The distinct sites, in fractional coordinates, are Li at (0.000, 0.000, 0.000), Co at (0.000, 0.500, 0.500) and Cl at (0.500, 0.500, 0.500).

The value obtained for the relative energy among the computed polymorphs is 0 meV per atom. Its formation energy from raw total energies is 62.9 kJ per mole of atoms.

(2)
A plane-wave DFT calculation with GGA-PBE was carried out for LiCo2Cl after structural relaxation.

It has space group R3m (No. 160, hexagonal axes), with a = 3.2987 Å, b = 3.2987 Å, c = 20.4637 Å, α = 90.00°, β = 90.00° and γ = 120.00°. The distinct sites, in fractional coordinates, are Li at (0.0000, 0.0000, 0.0000), Co at (0.0000, 0.0000, 0.2244), Co at (0.0000, 0.0000, 0.5024) and Cl at (0.0000, 0.0000, 0.7340).

The value obtained for the relative energy among the computed polymorphs is 141 meV per atom. Its formation energy from raw total energies is -2.4 kJ per mole of atoms.

(3)
A plane-wave DFT calculation with GGA-PBE was carried out for LiCo2Cl after structural relaxation.

It has space group Amm2 (No. 38), with a = 3.053 Å, b = 3.092 Å, c = 12.285 Å, α = 90.00°, β = 90.00° and γ = 90.00°. The distinct sites, in fractional coordinates, are Li at (0.000, 0.000, 0.000), Co at (0.000, 0.000, 0.224), Co at (0.500, 0.000, 0.642) and Cl at (0.500, 0.000, 0.431).

The value obtained for the relative energy among the computed polymorphs is 0 meV per atom. Its formation energy from raw total energies is -16.0 kJ per mole of atoms.

(4)
A plane-wave DFT calculation with GGA-PBE was carried out for LiCoCl2 after structural relaxation.

It has space group Cm (No. 8), with a = 13.532 Å, b = 3.419 Å, c = 3.430 Å, α = 90.00°, β = 90.65° and γ = 90.00°. The distinct sites, in fractional coordinates, are Li at (0.000, 0.000, 0.000), Co at (0.355, 0.000, 0.490), Cl at (0.031, 0.500, 0.502) and Cl at (0.314, 0.500, 0.993).

The value obtained for the relative energy among the computed polymorphs is 46 meV per atom. Its formation energy from raw total energies is -72.3 kJ per mole of atoms.

(5)
A plane-wave DFT calculation with GGA-PBE was carried out for Li3Co5Cl12 after structural relaxation.

It has space group Ia-3d (No. 230), with a = 15.078 Å, b = 15.078 Å, c = 15.078 Å, α = 90.00°, β = 90.00° and γ = 90.00°. The distinct sites, in fractional coordinates, are Li at (0.000, 0.250, 0.125), Co at (0.000, 0.000, 0.000), Co at (0.000, 0.250, 0.375) and Cl at (0.028, 0.055, 0.650).

Its formation energy from raw total energies is -78.5 kJ per mole of atoms.

(6)
A plane-wave DFT calculation with GGA-PBE was carried out for LiCo2Cl after structural relaxation.

It has space group Pmmm (No. 47), with a = 2.847 Å, b = 4.002 Å, c = 4.842 Å, α = 90.00°, β = 90.00° and γ = 90.00°. The distinct sites, in fractional coordinates, are Li at (0.000, 0.000, 0.000), Co at (0.500, 0.500, 0.230) and Cl at (0.000, 0.000, 0.500).

The value obtained for the relative energy among the computed polymorphs is 540 meV per atom. Its formation energy from raw total energies is 36.1 kJ per mole of atoms.

(7)
A plane-wave DFT calculation with GGA-PBE was carried out for LiCoCl2 after structural relaxation.

It has space group R-3m (No. 166, hexagonal axes), with a = 3.6377 Å, b = 3.6377 Å, c = 21.4050 Å, α = 90.00°, β = 90.00° and γ = 120.00°. The distinct sites, in fractional coordinates, are Li at (0.0000, 0.0000, 0.0000), Co at (0.0000, 0.0000, 0.5000) and Cl at (0.0000, 0.0000, 0.3988).

The value obtained for the relative energy among the computed polymorphs is 68 meV per atom. Its formation energy from raw total energies is -70.2 kJ per mole of atoms.

(8)
A plane-wave DFT calculation with GGA-PBE was carried out for LiCoCl2 after structural relaxation.

It has space group P2/m (No. 10), with a = 3.679 Å, b = 3.399 Å, c = 6.509 Å, α = 90.00°, β = 103.74° and γ = 90.00°. The distinct sites, in fractional coordinates, are Li at (0.000, 0.000, 0.000), Co at (0.000, 0.000, 0.500) and Cl at (0.163, 0.500, 0.759).

The value obtained for the relative energy among the computed polymorphs is 125 meV per atom. Its formation energy from raw total energies is -64.7 kJ per mole of atoms.

(9)
A plane-wave DFT calculation with GGA-PBE was carried out for Li2CoCl4 after structural relaxation.

It has space group Imma (No. 74), with a = 7.298 Å, b = 7.419 Å, c = 9.761 Å, α = 90.00°, β = 90.00° and γ = 90.00°. The distinct sites, in fractional coordinates, are Li at (0.000, 0.000, 0.000), Li at (0.250, 0.250, 0.250), Co at (0.000, 0.000, 0.500), Cl at (0.000, 0.015, 0.257) and Cl at (0.233, 0.250, 0.505).

The value obtained for the relative energy among the computed polymorphs is 80 meV per atom. Its formation energy from raw total energies is -115.0 kJ per mole of atoms.

(10)
A plane-wave DFT calculation with GGA-PBE was carried out for LiCo2Cl after structural relaxation.

It has space group I-4m2 (No. 119), with a = 4.149 Å, b = 4.149 Å, c = 6.225 Å, α = 90.00°, β = 90.00° and γ = 90.00°. The distinct sites, in fractional coordinates, are Li at (0.000, 0.000, 0.000), Co at (0.000, 0.000, 0.500), Co at (0.000, 0.500, 0.250) and Cl at (0.000, 0.500, 0.750).

The value obtained for the relative energy among the computed polymorphs is 604 meV per atom. Its formation energy from raw total energies is 42.3 kJ per mole of atoms.

(11)
A plane-wave DFT calculation with GGA-PBE was carried out for LiCoCl2 after structural relaxation.

It has space group I-4m2 (No. 119), with a = 3.381 Å, b = 3.381 Å, c = 15.979 Å, α = 90.00°, β = 90.00° and γ = 90.00°. The distinct sites, in fractional coordinates, are Li at (0.000, 0.000, 0.000), Co at (0.000, 0.500, 0.250), Cl at (0.000, 0.000, 0.500) and Cl at (0.000, 0.500, 0.750).

The value obtained for the relative energy among the computed polymorphs is 161 meV per atom. Its formation energy from raw total energies is -61.2 kJ per mole of atoms.

(12)
A plane-wave DFT calculation with GGA-PBE was carried out for LiCo2Cl after structural relaxation.

It has space group Imm2 (No. 44), with a = 3.000 Å, b = 4.477 Å, c = 10.298 Å, α = 90.00°, β = 90.00° and γ = 90.00°. The distinct sites, in fractional coordinates, are Li at (0.000, 0.000, 0.000), Co at (0.000, 0.000, 0.447), Co at (0.000, 0.500, 0.107) and Cl at (0.000, 0.500, 0.766).

The value obtained for the relative energy among the computed polymorphs is 431 meV per atom. Its formation energy from raw total energies is 25.6 kJ per mole of atoms.

Repeat the seventh record exactly.
A plane-wave DFT calculation with GGA-PBE was carried out for LiCoCl2 after structural relaxation.

It has space group R-3m (No. 166, hexagonal axes), with a = 3.6377 Å, b = 3.6377 Å, c = 21.4050 Å, α = 90.00°, β = 90.00° and γ = 120.00°. The distinct sites, in fractional coordinates, are Li at (0.0000, 0.0000, 0.0000), Co at (0.0000, 0.0000, 0.5000) and Cl at (0.0000, 0.0000, 0.3988).

The value obtained for the relative energy among the computed polymorphs is 68 meV per atom. Its formation energy from raw total energies is -70.2 kJ per mole of atoms.

Question: Which value of formation energy from raw total energies does entry 4 give?
Answer: -72.3 kJ per mole of atoms

Question: formation energy from raw total energies of number 10 (LiCo2Cl)?
Answer: 42.3 kJ per mole of atoms

Question: formation energy from raw total energies of number 9 (Li2CoCl4)?
Answer: -115.0 kJ per mole of atoms